## Tm6Sn2Te (GGA-PBE)

Data for Tm6Sn2Te after structural relaxation.

a = 4.1392 Å, b = 14.3390 Å, c = 8.2814 Å
α = 90.00°, β = 90.00°, γ = 90.00°
Space group Amm2 (No. 38)
Inequivalent atoms, fractional coordinates:
Tm1 0.0000 0.0000 0.0000 [2 per cell]
Tm2 0.0000 0.1352 0.5933 [4 per cell]
Tm3 0.5000 0.0000 0.3311 [2 per cell]
Tm4 0.5000 0.1990 0.9278 [4 per cell]
Sn1 0.0000 0.1668 0.2288 [4 per cell]
Te1 0.5000 0.0000 0.7293 [2 per cell]

Output
As for the formation energy without anion corrections: -5.380 eV per formula unit. As for the raw total energy: -4.82 eV/atom. The value obtained for the density of states at the Fermi level is 24.09 states/eV/cell.